Here is a relaxed Rb2TlCd4Hg3 crystal from Alexandria. Energies are from PBE.

Results
Its formation energy is -111 meV per atom. Its magnetization is 0.0 μB per formula unit. Its calculated total energy is -0.997 eV/atom.

abc: 5.315 5.315 11.569
angles: 90.00 90.00 90.00
Fractional coordinates of all 10 atoms:
Rb  0.000  0.500  0.248
Rb  0.500  0.000  0.752
Tl  0.000  0.000  0.500
Cd  0.000  0.000  0.000
Cd  0.000  0.500  0.626
Cd  0.500  0.000  0.374
Cd  0.500  0.500  0.000
Hg  0.000  0.500  0.878
Hg  0.500  0.000  0.122
Hg  0.500  0.500  0.500

***

Here is a relaxed KSrCoCl5 crystal from Alexandria. Energies are from PBE.

Results
Its magnetization is 3.0 μB per formula unit. Its calculated total energy is -4.015 eV/atom. The value obtained for the formation energy from raw total energies is -1.63 eV/atom.

abc: 7.604 7.604 10.179
angles: 103.55 103.55 105.94
Fractional coordinates of all 16 atoms:
K  0.150  0.850  0.750
K  0.850  0.150  0.250
Sr  0.500  0.500  0.000
Sr  0.500  0.500  0.500
Co  0.182  0.818  0.250
Co  0.818  0.182  0.750
Cl  0.096  0.234  0.922
Cl  0.164  0.586  0.357
Cl  0.234  0.096  0.422
Cl  0.401  0.599  0.750
Cl  0.414  0.836  0.143
Cl  0.586  0.164  0.857
Cl  0.599  0.401  0.250
Cl  0.766  0.904  0.578
Cl  0.836  0.414  0.643
Cl  0.904  0.766  0.078

***

Here is a relaxed BWN2 crystal from Alexandria. Energies are from PBE.

Results
Its magnetization is 0.0 μB per formula unit. Its calculated total energy is -9.302 eV/atom. The value obtained for the formation energy from raw total energies is -0.23 eV/atom.

abc: 5.684 5.684 5.684
angles: 29.73 29.73 29.73
Fractional coordinates of all 4 atoms:
B  0.000  0.000  0.000
W  0.500  0.500  0.500
N  0.083  0.083  0.083
N  0.917  0.917  0.917

***

Per-record theoretical density, g/cm³: 7.250 2.312 9.246